[1]
Density functional theory data (GGA-PBEsol) for a relaxed structure of CaLaHg.

abc: 3.8156 5.2059 5.2059
angles: 120.00 90.00 90.00
Sites, in units of the cell vectors:
Ca  0.9032  0.0000  0.0000
Hg  0.7301  0.3333  0.6667
La  0.3667  0.6667  0.3333

Summary:
Formation energy from the elements, eV/atom: -0.2477
Offset from the most stable computed form, meV/atom: 118.8

***

[2]
Density functional theory data (GGA-PBEsol) for a relaxed structure of CuRe2Te.

abc: 3.1845 4.3450 4.3450
angles: 90.00 90.00 90.00
Sites, in units of the cell vectors:
Cu  0.5000  0.0000  0.0000
Re  0.0000  0.0000  0.5000
Re  0.0000  0.5000  0.0000
Te  0.5000  0.5000  0.5000

Summary:
Uncorrected formation energy, eV/f.u.: 3.03

***

[3]
Density functional theory data (GGA-PBEsol) for a relaxed structure of LiCrIr3.

abc: 4.0304 4.0304 4.0304
angles: 90.00 90.00 90.00
Site moments in Bohr magnetons follow the coordinates.
Sites, in units of the cell vectors:
Cr  0.5000  0.5000  0.5000  2.49
Ir  0.0000  0.5000  0.0000  -0.23
Ir  0.0000  0.0000  0.5000  -0.23
Ir  0.5000  0.0000  0.0000  -0.23
Li  0.0000  0.0000  0.0000  -0.01

Summary:
Formation energy from the elements, eV/atom: 0.8522

***

[4]
Density functional theory data (GGA-PBEsol) for a relaxed structure of BaPbBr2.

abc: 3.9974 6.2911 6.2911
angles: 106.20 107.00 107.00
Sites, in units of the cell vectors:
Pb  0.5000  0.0000  0.0000
Ba  0.5000  0.5000  0.5000
Br  0.0000  0.5000  0.0000
Br  0.0000  0.0000  0.5000

Summary:
Uncorrected formation energy, eV/f.u.: -4.31
Offset from the most stable computed form, meV/atom: 78.1

***

[5]
Density functional theory data (GGA-PBEsol) for a relaxed structure of HoGePt.

abc: 4.3203 6.8956 7.5033
angles: 90.00 90.00 90.00
Sites, in units of the cell vectors:
Ge  0.7500  0.6893  0.4115
Ge  0.7500  0.1893  0.0885
Ge  0.2500  0.3107  0.5885
Ge  0.2500  0.8107  0.9115
Ho  0.2500  0.4970  0.2031
Ho  0.7500  0.0030  0.7031
Ho  0.2500  0.9970  0.2969
Ho  0.7500  0.5030  0.7969
Pt  0.7500  0.2955  0.4158
Pt  0.7500  0.7955  0.0842
Pt  0.2500  0.2045  0.9158
Pt  0.2500  0.7045  0.5842

Summary:
Formation energy from the elements, eV/atom: -1.1754

***

[6]
Density functional theory data (GGA-PBEsol) for a relaxed structure of TlFe2Se2.

abc: 3.7681 3.7681 7.0560
angles: 105.49 105.49 90.00
Sites, in units of the cell vectors:
Tl  0.0000  0.0000  0.0000
Fe  0.7500  0.2500  0.5000
Fe  0.2500  0.7500  0.5000
Se  0.3483  0.3483  0.6966
Se  0.6517  0.6517  0.3034

Summary:
Uncorrected formation energy, eV/f.u.: -1.13
Offset from the most stable computed form, meV/atom: 0.0

***

[7]
Density functional theory data (GGA-PBEsol) for a relaxed structure of Ba2FeReO6.

abc: 5.6846 5.6846 5.6846
angles: 60.00 60.00 60.00
Site moments in Bohr magnetons follow the coordinates.
Sites, in units of the cell vectors:
Ba  0.7500  0.7500  0.7500  -0.01
Ba  0.2500  0.2500  0.2500  -0.01
Fe  0.5000  0.5000  0.5000  3.64
Re  0.0000  0.0000  0.0000  -0.79
O  0.7578  0.2422  0.7578  0.04
O  0.2422  0.7578  0.2422  0.04
O  0.7578  0.2422  0.2422  0.04
O  0.2422  0.2422  0.7578  0.04
O  0.2422  0.7578  0.7578  0.04
O  0.7578  0.7578  0.2422  0.04

Summary:
Uncorrected formation energy, eV/f.u.: -21.28

***

[8]
Density functional theory data (GGA-PBEsol) for a relaxed structure of Li3CdAs.

abc: 4.8343 4.8343 4.8343
angles: 90.00 90.00 90.00
Sites, in units of the cell vectors:
As  0.0000  0.0000  0.0000
Li  0.0000  0.5000  0.0000
Li  0.0000  0.0000  0.5000
Li  0.5000  0.0000  0.0000
Cd  0.5000  0.5000  0.5000

Summary:
Formation energy from the elements, eV/atom: -0.2968